Li2Mg6In3 after structural relaxation, computed with GGA-PBE.

The structure in extended XYZ format:
```
11
Lattice="-1.4110 2.5648 -1.3699 -4.2075 -0.9238 2.6039 -2.0130 8.7982 14.4397" Properties=species:S:1:pos:R:3 pbc="T T T"
Mg -4.0435 1.9495 3.9192
Mg -5.3814 5.3533 7.7897
Mg -2.2501 5.0859 7.8840
Mg -2.9837 3.1057 1.1693
Mg -3.5880 8.4896 11.7544
Mg -4.6478 7.3335 14.5044
In -3.7645 5.6614 10.4964
In -3.8670 4.7778 5.1773
In 0.0000 0.0000 0.0000
Li -1.3566 3.4438 3.9080
Li -6.2749 6.9954 11.7657
```

Properties
Crystal system = triclinic
DFT formation energy = -0.110 eV/atom

***

Sm2CdCu9 after structural relaxation, computed with GGA-PBE.

The structure in extended XYZ format:
```
12
Lattice="5.1404 0.0000 0.0000 2.5702 4.4517 0.0000 2.5702 1.4839 8.3266" Properties=species:S:1:pos:R:3 pbc="T T T"
Cu 5.1404 4.4550 2.0164
Cu 6.4283 2.2243 2.0164
Cu 5.1404 1.4807 6.3102
Cu 3.8526 2.2243 2.0164
Cu 2.5702 1.4839 0.0175
Cu 7.7107 4.4518 8.3091
Cu 6.4283 3.7114 6.3102
Cu 5.1404 2.9678 4.1633
Cu 3.8526 3.7114 6.3102
Sm 2.5702 1.4839 4.9450
Sm 7.7107 4.4517 3.3816
Cd 0.0000 0.0000 0.0000
```

Properties
Crystal system = trigonal
DFT formation energy = -0.075 eV/atom

***

BiTeBrF2 after structural relaxation, computed with GGA-PBE.

The structure in extended XYZ format:
```
5
Lattice="4.4449 0.0000 0.0000 0.0000 6.1204 0.0000 0.0000 0.0000 4.4449" Properties=species:S:1:pos:R:3 pbc="T T T"
Bi 0.0000 3.0602 0.0000
F 2.2225 0.0000 0.0000
F 0.0000 0.0000 2.2225
Te 2.2225 3.0602 2.2225
Br 0.0000 0.0000 0.0000
```

Properties
E_form (uncorrected) = -407 meV per atom
Crystal system = tetragonal